An optimized crystal structure of Ba8Nb6CoO24, computed with GGA-PBEsol.

Calculated values
Raw formation energy: -2.761 eV/atom
Mass density: 6356 kg/m3
Electronic total energy: -8.2954 eV per atom

Geometry as CIF:
```
data_Ba8Nb6CoO24
_chemical_formula_sum 'Ba8 Nb6 Co1 O24'
_symmetry_space_group_name_H-M 'P -3 m 1'
_symmetry_Int_Tables_number 164
_symmetry_space_group_name_Hall '-P 3 2"'
_cell_length_a 5.7896
_cell_length_b 5.7896
_cell_length_c 18.8918
_cell_angle_alpha 90.00
_cell_angle_beta 90.00
_cell_angle_gamma 120.00
loop_
_atom_site_label
_atom_site_type_symbol
_atom_site_fract_x
_atom_site_fract_y
_atom_site_fract_z
_atom_site_occupancy
Ba1 Ba 0.0000 0.0000 0.1851 1
Ba2 Ba 0.3333 0.6667 0.0612 1
Ba3 Ba 0.3333 0.6667 0.4557 1
Ba4 Ba 0.3333 0.6667 0.6822 1
Nb1 Nb 0.0000 0.0000 0.3854 1
Nb2 Nb 0.3333 0.6667 0.2528 1
Nb3 Nb 0.3333 0.6667 0.8800 1
Co1 Co 0.0000 0.0000 0.0000 1
O1 O 0.0021 0.5010 0.1861 1
O2 O 0.1658 0.3317 0.5699 1
O3 O 0.1675 0.3350 0.3072 1
O4 O 0.1696 0.3392 0.9364 1
```



An optimized crystal structure of BaNd2CoO5, computed with GGA-PBEsol.

Calculated values
Raw formation energy: -2.635 eV/atom
Mass density: 7244 kg/m3
Electronic total energy: -7.7981 eV per atom

Geometry as CIF:
```
data_BaNd2CoO5
_chemical_formula_sum 'Ba2 Nd4 Co2 O10'
_symmetry_space_group_name_H-M 'I m m m'
_symmetry_Int_Tables_number 71
_symmetry_space_group_name_Hall '-I 2 2'
_cell_length_a 3.722
_cell_length_b 5.911
_cell_length_c 11.769
_cell_angle_alpha 90.00
_cell_angle_beta 90.00
_cell_angle_gamma 90.00
loop_
_atom_site_label
_atom_site_type_symbol
_atom_site_fract_x
_atom_site_fract_y
_atom_site_fract_z
_atom_site_occupancy
Ba1 Ba 0.000 0.000 0.000 1
Nd1 Nd 0.000 0.500 0.203 1
Co1 Co 0.000 0.000 0.500 1
O1 O 0.000 0.243 0.356 1
O2 O 0.000 0.500 0.000 1
```



An optimized crystal structure of BaNdCo2O6, computed with GGA-PBEsol.

Calculated values
Raw formation energy: -1.973 eV/atom
Mass density: 7428 kg/m3
Electronic total energy: -7.4015 eV per atom

Geometry as CIF:
```
data_BaNdCo2O6
_chemical_formula_sum 'Ba1 Nd1 Co2 O6'
_symmetry_space_group_name_H-M 'P 4/m m m'
_symmetry_Int_Tables_number 123
_symmetry_space_group_name_Hall '-P 4 2'
_cell_length_a 3.834
_cell_length_b 3.834
_cell_length_c 7.535
_cell_angle_alpha 90.00
_cell_angle_beta 90.00
_cell_angle_gamma 90.00
loop_
_atom_site_label
_atom_site_type_symbol
_atom_site_fract_x
_atom_site_fract_y
_atom_site_fract_z
_atom_site_occupancy
Ba1 Ba 0.000 0.000 0.000 1
Nd1 Nd 0.000 0.000 0.500 1
Co1 Co 0.500 0.500 0.250 1
O1 O 0.000 0.500 0.274 1
O2 O 0.500 0.500 0.000 1
O3 O 0.500 0.500 0.500 1
```



An optimized crystal structure of BaNd3Co4O12, computed with GGA-PBEsol.

Calculated values
Raw formation energy: -2.099 eV/atom
Mass density: 7626 kg/m3
Electronic total energy: -7.6782 eV per atom

Geometry as CIF:
```
data_BaNd3Co4O12
_chemical_formula_sum 'Ba1 Nd3 Co4 O12'
_symmetry_space_group_name_H-M 'P 1 m 1'
_symmetry_Int_Tables_number 6
_cell_length_a 5.385
_cell_length_b 7.479
_cell_length_c 5.395
_cell_angle_alpha 90.00
_cell_angle_beta 90.97
_cell_angle_gamma 90.00
loop_
_symmetry_equiv_pos_as_xyz
'x,y,z'
'x,-y,z'
loop_
_atom_site_label
_atom_site_type_symbol
_atom_site_fract_x
_atom_site_fract_y
_atom_site_fract_z
_atom_site_occupancy
Ba1 Ba 0.000 0.000 0.000 1
Nd1 Nd 0.487 0.500 0.512 1
Nd2 Nd 0.505 0.000 0.501 1
Nd3 Nd 0.989 0.500 0.009 1
Co1 Co 0.495 0.252 0.004 1
Co2 Co 0.997 0.251 0.504 1
O1 O 0.038 0.500 0.560 1
O2 O 0.240 0.272 0.248 1
O3 O 0.276 0.218 0.723 1
O4 O 0.447 0.500 0.955 1
O5 O 0.512 0.000 0.061 1
O6 O 0.738 0.297 0.261 1
O7 O 0.748 0.264 0.756 1
O8 O 0.947 0.000 0.483 1
```



An optimized crystal structure of RbBaCoNi2, computed with GGA-PBEsol.

Calculated values
Formation energy: 1.76 eV per atom
Mass density: 5846 kg/m3
Electronic total energy: -2.8815 eV per atom

Geometry as CIF:
```
data_RbBaCoNi2
_chemical_formula_sum 'Rb1 Ba1 Co1 Ni2'
_symmetry_space_group_name_H-M 'P 4/m m m'
_symmetry_Int_Tables_number 123
_symmetry_space_group_name_Hall '-P 4 2'
_cell_length_a 4.886
_cell_length_b 4.886
_cell_length_c 4.748
_cell_angle_alpha 90.00
_cell_angle_beta 90.00
_cell_angle_gamma 90.00
loop_
_atom_site_label
_atom_site_type_symbol
_atom_site_fract_x
_atom_site_fract_y
_atom_site_fract_z
_atom_site_occupancy
Rb1 Rb 0.000 0.000 0.000 1
Ba1 Ba 0.500 0.500 0.500 1
Co1 Co 0.000 0.000 0.500 1
Ni1 Ni 0.000 0.500 0.000 1
```



An optimized crystal structure of Ba2CoO4, computed with GGA-PBEsol.

Calculated values
Raw formation energy: -1.982 eV/atom
Mass density: 5640 kg/m3
Electronic total energy: -6.7005 eV per atom

Geometry as CIF:
```
data_Ba2CoO4
_chemical_formula_sum 'Ba8 Co4 O16'
_symmetry_space_group_name_H-M 'P 1 21/c 1'
_symmetry_Int_Tables_number 14
_cell_length_a 5.971
_cell_length_b 7.599
_cell_length_c 11.657
_cell_angle_alpha 90.00
_cell_angle_beta 117.73
_cell_angle_gamma 90.00
loop_
_symmetry_equiv_pos_as_xyz
'x,y,z'
'-x,-y,-z'
'-x,y+1/2,-z+1/2'
'x,-y+1/2,z+1/2'
loop_
_atom_site_label
_atom_site_type_symbol
_atom_site_fract_x
_atom_site_fract_y
_atom_site_fract_z
_atom_site_occupancy
Ba1 Ba 0.039 0.004 0.310 1
Ba2 Ba 0.319 0.149 0.080 1
Co1 Co 0.337 0.724 0.082 1
O1 O 0.136 0.671 0.638 1
O2 O 0.236 0.681 0.422 1
O3 O 0.294 0.008 0.576 1
O4 O 0.338 0.221 0.819 1
```



An optimized crystal structure of Ba3CoO5, computed with GGA-PBEsol.

Calculated values
Raw formation energy: -2.110 eV/atom
Mass density: 6021 kg/m3
Electronic total energy: -6.6019 eV per atom

Geometry as CIF:
```
data_Ba3CoO5
_chemical_formula_sum 'Ba12 Co4 O20'
_symmetry_space_group_name_H-M 'I 4/m c m'
_symmetry_Int_Tables_number 140
_symmetry_space_group_name_Hall '-I 4 2c'
_cell_length_a 7.240
_cell_length_b 7.240
_cell_length_c 11.592
_cell_angle_alpha 90.00
_cell_angle_beta 90.00
_cell_angle_gamma 90.00
loop_
_atom_site_label
_atom_site_type_symbol
_atom_site_fract_x
_atom_site_fract_y
_atom_site_fract_z
_atom_site_occupancy
Ba1 Ba 0.000 0.000 0.250 1
Ba2 Ba 0.174 0.326 0.000 1
Co1 Co 0.000 0.500 0.250 1
O1 O 0.000 0.000 0.000 1
O2 O 0.140 0.360 0.344 1
```



An optimized crystal structure of BaCoO2, computed with GGA-PBEsol.

Calculated values
Raw formation energy: -1.548 eV/atom
Mass density: 6468 kg/m3
Electronic total energy: -6.6437 eV per atom

Geometry as CIF:
```
data_BaCoO2
_chemical_formula_sum 'Ba4 Co4 O8'
_symmetry_space_group_name_H-M 'I -4 2 d'
_symmetry_Int_Tables_number 122
_symmetry_space_group_name_Hall 'I -4 2bw'
_cell_length_a 5.985
_cell_length_b 5.985
_cell_length_c 6.545
_cell_angle_alpha 90.00
_cell_angle_beta 90.00
_cell_angle_gamma 90.00
loop_
_atom_site_label
_atom_site_type_symbol
_atom_site_fract_x
_atom_site_fract_y
_atom_site_fract_z
_atom_site_occupancy
Ba1 Ba 0.000 0.000 0.000 1
Co1 Co 0.000 0.000 0.500 1
O1 O 0.149 0.250 0.625 1
```



An optimized crystal structure of BaCoO2, computed with GGA-PBEsol.

Calculated values
Raw formation energy: -1.648 eV/atom
Mass density: 5940 kg/m3
Electronic total energy: -6.7440 eV per atom

Geometry as CIF:
```
data_BaCoO2
_chemical_formula_sum 'Ba3 Co3 O6'
_symmetry_space_group_name_H-M 'P 31 2 1'
_symmetry_Int_Tables_number 152
_cell_length_a 5.7265
_cell_length_b 5.7265
_cell_length_c 6.7402
_cell_angle_alpha 90.00
_cell_angle_beta 90.00
_cell_angle_gamma 120.00
loop_
_symmetry_equiv_pos_as_xyz
'x,y,z'
'-y,x-y,z+1/3'
'-x+y,-x,z+2/3'
'y,x,-z'
'x-y,-y,-z+2/3'
'-x,-x+y,-z+1/3'
loop_
_atom_site_label
_atom_site_type_symbol
_atom_site_fract_x
_atom_site_fract_y
_atom_site_fract_z
_atom_site_occupancy
Ba1 Ba 0.0000 0.6525 0.1667 1
Co1 Co 0.0000 0.6004 0.6667 1
O1 O 0.1413 0.4406 0.8616 1
```



An optimized crystal structure of Ba2CoP2O8, computed with GGA-PBEsol.

Calculated values
Raw formation energy: -2.431 eV/atom
Mass density: 4606 kg/m3
Electronic total energy: -7.4777 eV per atom

Geometry as CIF:
```
data_Ba2CoP2O8
_chemical_formula_sum 'Ba8 Co4 P8 O32'
_symmetry_space_group_name_H-M 'P 1 21/c 1'
_symmetry_Int_Tables_number 14
_cell_length_a 5.272
_cell_length_b 8.878
_cell_length_c 16.869
_cell_angle_alpha 90.00
_cell_angle_beta 107.05
_cell_angle_gamma 90.00
loop_
_symmetry_equiv_pos_as_xyz
'x,y,z'
'-x,-y,-z'
'-x,y+1/2,-z+1/2'
'x,-y+1/2,z+1/2'
loop_
_atom_site_label
_atom_site_type_symbol
_atom_site_fract_x
_atom_site_fract_y
_atom_site_fract_z
_atom_site_occupancy
Ba1 Ba 0.022 0.155 0.269 1
Ba2 Ba 0.187 0.703 0.981 1
Co1 Co 0.403 0.013 0.135 1
P1 P 0.188 0.092 0.923 1
P2 P 0.420 0.112 0.666 1
O1 O 0.106 0.635 0.625 1
O2 O 0.220 0.098 0.016 1
O3 O 0.243 0.030 0.588 1
O4 O 0.249 0.564 0.391 1
O5 O 0.286 0.614 0.834 1
O6 O 0.314 0.225 0.169 1
O7 O 0.373 0.207 0.899 1
O8 O 0.393 0.028 0.745 1
```



An optimized crystal structure of BaCoP2O7, computed with GGA-PBEsol.

Calculated values
Raw formation energy: -2.225 eV/atom
Mass density: 4288 kg/m3
Electronic total energy: -7.5175 eV per atom

Geometry as CIF:
```
data_BaCoP2O7
_chemical_formula_sum 'Ba2 Co2 P4 O14'
_symmetry_space_group_name_H-M 'P -1'
_symmetry_Int_Tables_number 2
_cell_length_a 5.285
_cell_length_b 7.374
_cell_length_c 7.579
_cell_angle_alpha 102.87
_cell_angle_beta 92.69
_cell_angle_gamma 93.79
loop_
_symmetry_equiv_pos_as_xyz
'x,y,z'
'-x,-y,-z'
loop_
_atom_site_label
_atom_site_type_symbol
_atom_site_fract_x
_atom_site_fract_y
_atom_site_fract_z
_atom_site_occupancy
Ba1 Ba 0.198 0.276 0.432 1
Co1 Co 0.198 0.112 0.897 1
P1 P 0.292 0.691 0.899 1
P2 P 0.300 0.768 0.285 1
O1 O 0.066 0.885 0.299 1
O2 O 0.109 0.852 0.913 1
O3 O 0.203 0.528 0.748 1
O4 O 0.271 0.625 0.088 1
O5 O 0.300 0.651 0.426 1
O6 O 0.431 0.231 0.106 1
O7 O 0.450 0.110 0.704 1
```



An optimized crystal structure of BaCo2P2O8, computed with GGA-PBEsol.

Calculated values
Raw formation energy: -1.973 eV/atom
Energy above the most stable polymorph in this dataset: 0.66 eV/f.u.
Mass density: 4024 kg/m3
Electronic total energy: -7.4496 eV per atom

Geometry as CIF:
```
data_BaCo2P2O8
_chemical_formula_sum 'Ba2 Co4 P4 O16'
_symmetry_space_group_name_H-M 'P 1 21/c 1'
_symmetry_Int_Tables_number 14
_cell_length_a 8.069
_cell_length_b 4.968
_cell_length_c 9.179
_cell_angle_alpha 90.00
_cell_angle_beta 93.16
_cell_angle_gamma 90.00
loop_
_symmetry_equiv_pos_as_xyz
'x,y,z'
'-x,-y,-z'
'-x,y+1/2,-z+1/2'
'x,-y+1/2,z+1/2'
loop_
_atom_site_label
_atom_site_type_symbol
_atom_site_fract_x
_atom_site_fract_y
_atom_site_fract_z
_atom_site_occupancy
Ba1 Ba 0.000 0.000 0.000 1
Co1 Co 0.352 0.061 0.713 1
P1 P 0.265 0.000 0.368 1
O1 O 0.135 0.147 0.270 1
O2 O 0.226 0.063 0.529 1
O3 O 0.264 0.691 0.351 1
O4 O 0.437 0.122 0.327 1
```